No. 1
RbBeNb after structural relaxation, computed with GGA-PBE.

As for the crystal system: triclinic. The excess energy over the best structure of this formula in the dataset is 353.3 meV/atom.

It has space group P1 (No. 1), with a = 4.473 Å, b = 5.075 Å, c = 11.168 Å, α = 82.30°, β = 82.12° and γ = 64.04°. The distinct sites, in fractional coordinates, are Rb at (0.000, 0.000, 0.000), Rb at (0.005, 0.396, 0.404), Be at (0.255, 0.199, 0.703), Be at (0.750, 0.199, 0.702), Nb at (0.262, 0.710, 0.657) and Nb at (0.742, 0.688, 0.747).

---

No. 2
Rb2BeNbW after structural relaxation, computed with GGA-PBE.

As for the crystal system: tetragonal.

It has space group P4/mmm (No. 123), with a = 6.706 Å, b = 6.706 Å, c = 4.524 Å, α = 90.00°, β = 90.00° and γ = 90.00°. The distinct sites, in fractional coordinates, are Rb at (0.000, 0.500, 0.000), Be at (0.000, 0.000, 0.500), Nb at (0.500, 0.500, 0.500) and W at (0.000, 0.000, 0.000).

---

No. 3
Be3NbRe after structural relaxation, computed with GGA-PBE.

As for the crystal system: cubic. The excess energy over the best structure of this formula in the dataset is 0.0 meV/atom.

It has space group Pm-3m (No. 221), with a = 4.118 Å, b = 4.118 Å, c = 4.118 Å, α = 90.00°, β = 90.00° and γ = 90.00°. The distinct sites, in fractional coordinates, are Be at (0.000, 0.000, 0.500), Nb at (0.500, 0.500, 0.500) and Re at (0.000, 0.000, 0.000).

---

No. 4
Be3Nb2Re after structural relaxation, computed with GGA-PBE.

As for the crystal system: trigonal.

It has space group R-3m (No. 166, hexagonal axes), with a = 4.7690 Å, b = 4.7690 Å, c = 11.8859 Å, α = 90.00°, β = 90.00° and γ = 120.00°. The distinct sites, in fractional coordinates, are Be at (0.0000, 0.5000, 0.0000), Nb at (0.0000, 0.0000, 0.1247) and Re at (0.0000, 0.0000, 0.5000).

---

No. 5
Be3NbRe after structural relaxation, computed with GGA-PBE.

As for the crystal system: cubic. The excess energy over the best structure of this formula in the dataset is 1016.1 meV/atom.

It has space group Pm-3m (No. 221), with a = 4.164 Å, b = 4.164 Å, c = 4.164 Å, α = 90.00°, β = 90.00° and γ = 90.00°. The distinct sites, in fractional coordinates, are Be at (0.000, 0.000, 0.500), Nb at (0.000, 0.000, 0.000) and Re at (0.500, 0.500, 0.500).

---

No. 6
Be4NbRe after structural relaxation, computed with GGA-PBE.

As for the crystal system: cubic.

It has space group F-43m (No. 216), with a = 6.355 Å, b = 6.355 Å, c = 6.355 Å, α = 90.00°, β = 90.00° and γ = 90.00°. The distinct sites, in fractional coordinates, are Be at (0.124, 0.124, 0.376), Nb at (0.000, 0.000, 0.000) and Re at (0.250, 0.250, 0.750).

---

| no. | formation energy from the elements (eV per atom) |
| --- | --- |
| 1 | 0.734 |
| 2 | 2.650 |
| 3 | 0.802 |
| 4 | -0.200 |
| 5 | 1.818 |
| 6 | -0.393 |